First-principles (GGA-PBE) data for a relaxed structure of InTeI2Cl, as listed in Alexandria via LeMat-Bulk.

Cell lengths 5.8066, 5.8066, 6.0338 Å; angles 90.00, 90.00, 90.00 degrees
Fractional coordinates of all 5 atoms:
In (0.0000, 0.0000, 0.0000)
Te (0.0000, 0.0000, 0.5000)
I (0.0000, 0.5000, 0.0000)
I (0.5000, 0.0000, 0.0000)
Cl (0.5000, 0.5000, 0.5000)

Summary:
Volume (Å³ per atom): 40.7
Space-group type: P4/mmm, No. 123
Raw formation energy (eV/atom): 0.169
Offset from the most stable computed form (meV per atom): 0.0
Size of the total moment (Bohr magnetons per cell): 2.28

---

First-principles (GGA-PBE) data for a relaxed structure of InTeI2Cl, as listed in Alexandria via LeMat-Bulk.

Cell lengths 5.8390, 5.8390, 5.6732 Å; angles 90.00, 90.00, 90.00 degrees
Fractional coordinates of all 5 atoms:
In (0.0000, 0.0000, 0.0000)
Te (0.5000, 0.5000, 0.0000)
I (0.0000, 0.5000, 0.5000)
I (0.5000, 0.0000, 0.5000)
Cl (0.5000, 0.5000, 0.5000)

Summary:
Volume (Å³ per atom): 38.7
Space-group type: P4/mmm, No. 123
Raw formation energy (eV/atom): 0.255
Offset from the most stable computed form (meV per atom): 85.6
Size of the total moment (Bohr magnetons per cell): 0.00

---

First-principles (GGA-PBE) data for a relaxed structure of TiIn2I4Cl2, as listed in Alexandria via LeMat-Bulk.

Cell lengths 7.4793, 7.4793, 6.6865 Å; angles 95.22, 95.22, 67.03 degrees
Fractional coordinates of all 9 atoms:
Ti (0.0000, 0.0000, 0.0000)
In (0.3327, 0.3327, 0.1248)
In (0.6673, 0.6673, 0.8752)
I (0.1293, 0.6523, 0.7607)
I (0.3477, 0.8707, 0.2393)
I (0.6523, 0.1293, 0.7607)
I (0.8707, 0.3477, 0.2393)
Cl (0.1369, 0.1369, 0.7936)
Cl (0.8631, 0.8631, 0.2064)

Summary:
Volume (Å³ per atom): 38.0
Space-group type: C2/m, No. 12
Raw formation energy (eV/atom): -0.811
Size of the total moment (Bohr magnetons per cell): 0.00

---

First-principles (GGA-PBE) data for a relaxed structure of TlInICl, as listed in Alexandria via LeMat-Bulk.

Cell lengths 8.6162, 8.6162, 8.6162 Å; angles 31.42, 31.42, 31.42 degrees
Fractional coordinates of all 4 atoms:
Tl (0.0000, 0.0000, 0.0000)
In (0.1512, 0.1512, 0.1512)
I (0.5745, 0.5745, 0.5745)
Cl (0.7454, 0.7454, 0.7454)

Summary:
Volume (Å³ per atom): 38.6
Space-group type: R3m, No. 160
Raw formation energy (eV/atom): -0.705
Offset from the most stable computed form (meV per atom): 0.0
Size of the total moment (Bohr magnetons per cell): 0.00

---

First-principles (GGA-PBE) data for a relaxed structure of TlInICl, as listed in Alexandria via LeMat-Bulk.

Cell lengths 5.7640, 5.7640, 5.7640 Å; angles 60.00, 60.00, 60.00 degrees
Fractional coordinates of all 4 atoms:
Tl (0.0000, 0.0000, 0.0000)
In (0.5000, 0.5000, 0.5000)
I (0.7500, 0.7500, 0.7500)
Cl (0.2500, 0.2500, 0.2500)

Summary:
Volume (Å³ per atom): 33.9
Space-group type: F-43m, No. 216
Raw formation energy (eV/atom): -0.660
Offset from the most stable computed form (meV per atom): 44.5
Size of the total moment (Bohr magnetons per cell): 0.00

---

First-principles (GGA-PBE) data for a relaxed structure of UIn2I4Cl2, as listed in Alexandria via LeMat-Bulk.

Cell lengths 8.1936, 8.1936, 7.2078 Å; angles 105.44, 105.44, 62.08 degrees
Fractional coordinates of all 9 atoms:
U (0.0000, 0.0000, 0.0000)
In (0.2790, 0.2790, 0.7945)
In (0.7210, 0.7210, 0.2055)
I (0.1561, 0.6526, 0.1897)
I (0.3474, 0.8439, 0.8103)
I (0.6526, 0.1561, 0.1897)
I (0.8439, 0.3474, 0.8103)
Cl (0.1582, 0.1582, 0.2974)
Cl (0.8418, 0.8418, 0.7026)

Summary:
Volume (Å³ per atom): 45.2
Space-group type: C2/m, No. 12
Raw formation energy (eV/atom): -0.896
Size of the total moment (Bohr magnetons per cell): 2.00

---

First-principles (GGA-PBE) data for a relaxed structure of ZnInICl2, as listed in Alexandria via LeMat-Bulk.

Cell lengths 4.9516, 4.9516, 5.7527 Å; angles 90.00, 90.00, 90.00 degrees
Fractional coordinates of all 5 atoms:
Zn (0.0000, 0.0000, 0.0000)
In (0.5000, 0.5000, 0.5000)
I (0.0000, 0.0000, 0.5000)
Cl (0.0000, 0.5000, 0.0000)
Cl (0.5000, 0.0000, 0.0000)

Summary:
Volume (Å³ per atom): 28.2
Space-group type: P4/mmm, No. 123
Raw formation energy (eV/atom): -0.717
Size of the total moment (Bohr magnetons per cell): 0.00

---

First-principles (GGA-PBE) data for a relaxed structure of ZnInI2Cl, as listed in Alexandria via LeMat-Bulk.

Cell lengths 5.7549, 5.7549, 4.8208 Å; angles 90.00, 90.00, 90.00 degrees
Fractional coordinates of all 5 atoms:
Zn (0.0000, 0.0000, 0.0000)
In (0.5000, 0.5000, 0.5000)
I (0.0000, 0.5000, 0.0000)
I (0.5000, 0.0000, 0.0000)
Cl (0.0000, 0.0000, 0.5000)

Summary:
Volume (Å³ per atom): 31.9
Space-group type: P4/mmm, No. 123
Raw formation energy (eV/atom): -0.542
Size of the total moment (Bohr magnetons per cell): 0.00

---

First-principles (GGA-PBE) data for a relaxed structure of ZrIn2I2Cl4, as listed in Alexandria via LeMat-Bulk.

Cell lengths 7.4281, 7.4281, 7.8272 Å; angles 102.50, 102.50, 57.46 degrees
Fractional coordinates of all 9 atoms:
Zr (0.0000, 0.0000, 0.0000)
In (0.2791, 0.2791, 0.7893)
In (0.7209, 0.7209, 0.2107)
I (0.1683, 0.1683, 0.3224)
I (0.8317, 0.8317, 0.6776)
Cl (0.1472, 0.6595, 0.1246)
Cl (0.3405, 0.8528, 0.8754)
Cl (0.6595, 0.1472, 0.1246)
Cl (0.8528, 0.3405, 0.8754)

Summary:
Volume (Å³ per atom): 39.2
Space-group type: C2/m, No. 12
Raw formation energy (eV/atom): -1.165
Size of the total moment (Bohr magnetons per cell): 0.00

---

First-principles (GGA-PBE) data for a relaxed structure of IrI3Cl, as listed in Alexandria via LeMat-Bulk.

Cell lengths 5.6755, 5.6755, 5.6755 Å; angles 90.00, 90.00, 90.00 degrees
Fractional coordinates of all 5 atoms:
Ir (0.0000, 0.0000, 0.0000)
I (0.0000, 0.5000, 0.5000)
I (0.5000, 0.0000, 0.5000)
I (0.5000, 0.5000, 0.0000)
Cl (0.5000, 0.5000, 0.5000)

Summary:
Volume (Å³ per atom): 36.6
Space-group type: Pm-3m, No. 221
Raw formation energy (eV/atom): 1.538
Offset from the most stable computed form (meV per atom): 1655.7
Size of the total moment (Bohr magnetons per cell): 2.96

---

First-principles (GGA-PBE) data for a relaxed structure of IrI3Cl, as listed in Alexandria via LeMat-Bulk.

Cell lengths 6.3203, 6.3203, 7.9742 Å; angles 90.00, 90.00, 84.56 degrees
Fractional coordinates of all 10 atoms:
Ir (0.0174, 0.9826, 0.7500)
Ir (0.9826, 0.0174, 0.2500)
I (0.1922, 0.1922, 0.0000)
I (0.1922, 0.1922, 0.5000)
I (0.3261, 0.6739, 0.7500)
I (0.6739, 0.3261, 0.2500)
I (0.8078, 0.8078, 0.0000)
I (0.8078, 0.8078, 0.5000)
Cl (0.2652, 0.7348, 0.2500)
Cl (0.7348, 0.2652, 0.7500)

Summary:
Volume (Å³ per atom): 31.7
Space-group type: Cmcm, No. 63
Raw formation energy (eV/atom): -0.113
Offset from the most stable computed form (meV per atom): 4.2
Size of the total moment (Bohr magnetons per cell): 0.00

---

First-principles (GGA-PBE) data for a relaxed structure of IrI3Cl, as listed in Alexandria via LeMat-Bulk.

Cell lengths 5.4102, 5.4102, 5.4102 Å; angles 90.00, 90.00, 90.00 degrees
Fractional coordinates of all 5 atoms:
Ir (0.0000, 0.0000, 0.0000)
I (0.0000, 0.0000, 0.5000)
I (0.0000, 0.5000, 0.0000)
I (0.5000, 0.0000, 0.0000)
Cl (0.5000, 0.5000, 0.5000)

Summary:
Volume (Å³ per atom): 31.7
Space-group type: Pm-3m, No. 221
Raw formation energy (eV/atom): 0.425
Offset from the most stable computed form (meV per atom): 541.8
Size of the total moment (Bohr magnetons per cell): 0.00

---

What is the volume in the sixth record?
45.2 Å³ per atom

---

Which value of volume does entry 8 give?
31.9 Å³ per atom